[1]
An optimized crystal structure of CuAgAu4. Source: the Alexandria database, functional GGA-PBEsol.

Uncorrected energy: -3.65 eV/atom
E_form: 0.239 eV per atom

Cell: 5.343 5.343 5.343 Å, 60.00 60.00 60.00°
Element x y z (fractional)
Ag 0.000 0.000 0.000
Au 0.375 0.375 0.375
Au 0.375 0.375 0.875
Au 0.875 0.375 0.375
Au 0.375 0.875 0.375
Cu 0.750 0.750 0.750

***

[2]
An optimized crystal structure of CuAgAu2. Source: the Alexandria database, functional GGA-PBEsol.

E above lowest polymorph: 0.052 eV/atom
Uncorrected energy: -3.88 eV/atom
E_form: -0.007 eV per atom

Cell: 2.819 4.818 4.905 Å, 102.05 106.70 90.00°
Element x y z (fractional)
Au 0.000 0.995 0.000
Au 0.760 0.264 0.520
Cu 0.499 0.494 0.998
Ag 0.241 0.746 0.482

***

[3]
An optimized crystal structure of Cu2AgAu. Source: the Alexandria database, functional GGA-PBEsol.

E above lowest polymorph: 0.014 eV/atom
Uncorrected energy: -3.96 eV/atom
E_form: 0.019 eV per atom

Cell: 3.791 3.791 4.764 Å, 113.44 113.44 90.00°
Element x y z (fractional)
Au 0.250 0.750 0.500
Cu 0.000 0.000 0.000
Cu 0.750 0.250 0.500
Ag 0.500 0.500 0.000

***

[4]
An optimized crystal structure of CuAgAu2. Source: the Alexandria database, functional GGA-PBEsol.

E above lowest polymorph: 0.057 eV/atom
Uncorrected energy: -3.88 eV/atom
E_form: -0.002 eV per atom

Cell: 2.820 2.820 7.801 Å, 90.00 90.00 89.94°
Element x y z (fractional)
Au 0.000 0.000 0.003
Au 0.500 0.500 0.726
Cu 0.000 0.000 0.500
Ag 0.500 0.500 0.270

***

[5]
An optimized crystal structure of Cu2AgAu. Source: the Alexandria database, functional GGA-PBEsol.

E above lowest polymorph: 0.022 eV/atom
Uncorrected energy: -3.95 eV/atom
E_form: 0.026 eV per atom

Cell: 2.918 4.365 5.134 Å, 115.16 106.51 90.00°
Element x y z (fractional)
Au 0.737 0.237 0.474
Cu 0.987 0.987 0.975
Cu 0.264 0.764 0.528
Ag 0.511 0.511 0.023

***

[6]
An optimized crystal structure of CuAg2Au. Source: the Alexandria database, functional GGA-PBEsol.

E above lowest polymorph: 0.000 eV/atom
Uncorrected energy: -3.72 eV/atom
E_form: -0.002 eV per atom

Cell: 2.815 2.815 7.768 Å, 90.00 90.00 90.00°
Element x y z (fractional)
Au 0.000 0.000 0.521
Cu 0.500 0.500 0.750
Ag 0.000 0.000 0.981
Ag 0.500 0.500 0.249

***

[7]
An optimized crystal structure of Cu2AgAu. Source: the Alexandria database, functional GGA-PBEsol.

E above lowest polymorph: 0.012 eV/atom
Uncorrected energy: -3.96 eV/atom
E_form: 0.016 eV per atom

Cell: 2.865 2.865 6.851 Å, 90.00 90.00 90.00°
Element x y z (fractional)
Au 0.500 0.500 0.775
Cu 0.000 0.000 0.024
Cu 0.500 0.500 0.225
Ag 0.000 0.000 0.476

***

[8]
An optimized crystal structure of CuAg2Au. Source: the Alexandria database, functional GGA-PBEsol.

E above lowest polymorph: 0.013 eV/atom
Uncorrected energy: -3.71 eV/atom
E_form: 0.012 eV per atom

Cell: 3.925 3.925 4.013 Å, 90.00 90.00 90.00°
Element x y z (fractional)
Au 0.500 0.500 0.500
Cu 0.000 0.000 0.500
Ag 0.000 0.500 0.000
Ag 0.500 0.000 0.000

***

[9]
An optimized crystal structure of Cu2AgAu. Source: the Alexandria database, functional GGA-PBEsol.

E above lowest polymorph: 0.010 eV/atom
Uncorrected energy: -3.96 eV/atom
E_form: 0.015 eV per atom

Cell: 2.768 4.577 4.577 Å, 103.90 90.00 90.00°
Element x y z (fractional)
Au 0.500 0.500 0.500
Cu 0.000 0.500 0.000
Cu 0.000 0.000 0.500
Ag 0.500 0.000 0.000

***

[10]
An optimized crystal structure of CuAgAu2. Source: the Alexandria database, functional GGA-PBEsol.

E above lowest polymorph: 0.091 eV/atom
Uncorrected energy: -3.84 eV/atom
E_form: 0.032 eV per atom

Cell: 4.463 4.463 4.463 Å, 60.00 60.00 60.00°
Element x y z (fractional)
Au 0.000 0.000 0.000
Au 0.750 0.750 0.750
Cu 0.250 0.250 0.250
Ag 0.500 0.500 0.500

***

[11]
An optimized crystal structure of CuAgAu2. Source: the Alexandria database, functional GGA-PBEsol.

E above lowest polymorph: 0.000 eV/atom
Uncorrected energy: -3.93 eV/atom
E_form: -0.059 eV per atom

Cell: 2.823 2.888 7.587 Å, 90.00 90.00 90.00°
Element x y z (fractional)
Au 0.000 0.000 0.772
Au 0.000 0.000 0.228
Cu 0.500 0.500 0.000
Ag 0.500 0.500 0.500

***

[12]
An optimized crystal structure of CuAgAu2. Source: the Alexandria database, functional GGA-PBEsol.

E above lowest polymorph: 0.045 eV/atom
Uncorrected energy: -3.89 eV/atom
E_form: -0.014 eV per atom

Cell: 2.818 4.839 4.839 Å, 109.40 89.95 89.95°
Element x y z (fractional)
Au 0.000 0.500 0.000
Au 0.000 0.000 0.500
Cu 0.500 0.500 0.500
Ag 0.500 0.000 0.000

***

[13]
An optimized crystal structure of CuAgAu2. Source: the Alexandria database, functional GGA-PBEsol.

E above lowest polymorph: 0.052 eV/atom
Uncorrected energy: -3.88 eV/atom
E_form: -0.007 eV per atom

Cell: 2.859 2.859 8.997 Å, 80.86 80.86 60.00°
Element x y z (fractional)
Au 0.244 0.244 0.267
Au 0.756 0.756 0.733
Cu 0.500 0.500 0.500
Ag 0.000 0.000 0.000

***

[14]
An optimized crystal structure of Cu2AgAu. Source: the Alexandria database, functional GGA-PBEsol.

E above lowest polymorph: 0.007 eV/atom
Uncorrected energy: -3.96 eV/atom
E_form: 0.011 eV per atom

Cell: 4.301 4.301 4.301 Å, 60.00 60.00 60.00°
Element x y z (fractional)
Au 0.500 0.500 0.500
Cu 0.250 0.250 0.250
Cu 0.750 0.750 0.750
Ag 0.000 0.000 0.000

***

[15]
An optimized crystal structure of Cu2Ag2Au. Source: the Alexandria database, functional GGA-PBEsol.

Uncorrected energy: -3.50 eV/atom
E_form: 0.344 eV per atom

Cell: 3.679 3.679 6.435 Å, 106.61 106.61 90.00°
Element x y z (fractional)
Au 0.000 0.000 0.000
Cu 0.405 0.405 0.809
Cu 0.595 0.595 0.191
Ag 0.250 0.750 0.500
Ag 0.750 0.250 0.500

***

[16]
An optimized crystal structure of CuAgAu. Source: the Alexandria database, functional GGA-PBEsol.

E above lowest polymorph: 0.367 eV/atom
Uncorrected energy: -3.49 eV/atom
E_form: 0.363 eV per atom

Cell: 4.275 4.275 4.275 Å, 60.00 60.00 60.00°
Element x y z (fractional)
Ag 0.500 0.500 0.500
Au 0.250 0.250 0.250
Cu 0.000 0.000 0.000

***

[17]
An optimized crystal structure of Cu2AgAu. Source: the Alexandria database, functional GGA-PBEsol.

E above lowest polymorph: 0.000 eV/atom
Uncorrected energy: -3.97 eV/atom
E_form: 0.004 eV per atom

Cell: 3.573 3.968 3.968 Å, 90.00 90.00 90.00°
Element x y z (fractional)
Au 0.500 0.000 0.000
Cu 0.000 0.000 0.500
Cu 0.000 0.500 0.000
Ag 0.500 0.500 0.500

***

[18]
An optimized crystal structure of CuAg2Au. Source: the Alexandria database, functional GGA-PBEsol.

E above lowest polymorph: 0.028 eV/atom
Uncorrected energy: -3.69 eV/atom
E_form: 0.026 eV per atom

Cell: 2.809 4.845 4.871 Å, 101.56 90.00 106.85°
Element x y z (fractional)
Au 0.509 0.018 0.513
Cu 0.249 0.498 0.745
Ag 0.991 0.983 0.996
Ag 0.750 0.501 0.246

***

[19]
An optimized crystal structure of Cu2AgAu. Source: the Alexandria database, functional GGA-PBEsol.

E above lowest polymorph: 0.011 eV/atom
Uncorrected energy: -3.96 eV/atom
E_form: 0.015 eV per atom

Cell: 2.756 3.629 5.634 Å, 90.00 89.97 90.00°
Element x y z (fractional)
Au 0.500 0.500 0.500
Cu 0.000 0.000 0.749
Cu 0.000 0.000 0.251
Ag 0.500 0.500 0.000

***

[20]
An optimized crystal structure of CuAg2Au. Source: the Alexandria database, functional GGA-PBEsol.

E above lowest polymorph: 0.021 eV/atom
Uncorrected energy: -3.70 eV/atom
E_form: 0.020 eV per atom

Cell: 2.809 4.782 4.908 Å, 101.75 106.63 90.00°
Element x y z (fractional)
Au 0.000 0.500 0.000
Cu 0.500 0.000 0.000
Ag 0.242 0.242 0.484
Ag 0.758 0.758 0.516